The following is a PBE calculation of a relaxed structure of NiSb2Pt, from Alexandria via LeMat-Bulk.

Structure (POSCAR):
```
NiSb2Pt
1.0
-2.006 2.006 4.700
2.006 -2.006 4.700
2.006 2.006 -4.700
Ni Sb Pt
1 2 1
Cartesian
0.000 0.000 0.000
0.000 0.000 4.700
0.000 2.006 2.350
2.006 0.000 2.350
```

Results
ΔE to the lowest computed polymorph = 321 meV/atom
Energy = -4.92 eV per atom
DOS at the Fermi energy = 0.712 states/eV/atom